This record from Alexandria describes an optimized crystal structure of KAu2Br. The functional is GGA-PBEsol.

Calculated values
**Formation energy without anion corrections**: -0.16 eV per atom
**Space group**: Imm2 (44)

Cell lengths 4.286, 5.585, 5.585 Å; angles 64.52, 67.43, 67.43 degrees
Fractional coordinates of all 4 atoms:
Au 0.937 0.063 0.063
Au 0.263 0.237 0.237
Br 0.551 0.449 0.449
K 0.749 0.751 0.751

This record from Alexandria describes an optimized crystal structure of CuNiBr2. The functional is GGA-PBEsol.

Calculated values
**Formation energy without anion corrections**: 0.83 eV per atom
**Space group**: F-43m (216)

Cell lengths 4.645, 4.645, 4.645 Å; angles 60.00, 60.00, 60.00 degrees
Last column: magnetic moment on the atom in μB.
Fractional coordinates of all 4 atoms:
Br 0.000 0.000 0.000  0.14
Br 0.750 0.750 0.750  0.12
Cu 0.500 0.500 0.500  0.07
Ni 0.250 0.250 0.250  0.80

This record from Alexandria describes an optimized crystal structure of Dy3Al. The functional is GGA-PBEsol.

Calculated values
**Space group**: Pm-3m (221)
**Formation energy**: -204 meV per atom

Cell lengths 4.674, 4.674, 4.674 Å; angles 90.00, 90.00, 90.00 degrees
Fractional coordinates of all 4 atoms:
Al 0.000 0.000 0.000
Dy 0.000 0.500 0.500
Dy 0.500 0.500 0.000
Dy 0.500 0.000 0.500

This record from Alexandria describes an optimized crystal structure of VPd2. The functional is GGA-PBEsol.

Calculated values
**Space group**: Immm (71)
**Formation energy**: -309 meV per atom

Cell lengths 4.696, 4.696, 4.696 Å; angles 146.64, 132.85, 58.98 degrees
Fractional coordinates of all 3 atoms:
Pd 0.662 0.662 0.000
Pd 0.338 0.338 0.000
V 0.000 0.000 0.000